1.
Compound: TmMn3B3
Source: Alexandria via LeMat-Bulk
Functional: PBE
Structure: optimized geometry

Geometry as POSCAR:
```
TmMn3B3
1.0
2.991 0.000 0.000
0.000 6.566 -3.749
0.000 -0.036 7.561
Tm Mn B
2 6 6
Direct
0.750 0.333 0.667
0.250 0.667 0.333
0.750 0.765 0.068
0.750 0.303 0.235
0.750 0.932 0.697
0.250 0.235 0.932
0.250 0.697 0.765
0.250 0.068 0.303
0.750 0.962 0.422
0.750 0.460 0.038
0.750 0.578 0.540
0.250 0.038 0.578
0.250 0.540 0.962
0.250 0.422 0.460
```

SG: P6_3/m
Total energy: -7.6341 eV/atom


2.
Compound: Pr2ReP
Source: Alexandria via LeMat-Bulk
Functional: PBE
Structure: optimized geometry

Geometry as POSCAR:
```
Pr2ReP
1.0
-0.721 2.976 -2.142
0.013 -0.330 -3.723
-9.119 -1.161 -1.804
Pr Re P
2 1 1
Direct
0.100 0.100 0.700
0.900 0.900 0.300
0.000 0.000 0.000
0.500 0.500 0.500
```

SG: R-3m
Total energy: -6.3108 eV/atom


3.
Compound: K2ZrRe
Source: Alexandria via LeMat-Bulk
Functional: PBE
Structure: optimized geometry

Geometry as POSCAR:
```
K2ZrRe
1.0
-2.810 -2.604 1.248
0.899 -2.444 -3.075
4.295 -2.921 3.576
K Re Zr
2 1 1
Direct
0.000 0.000 0.000
0.500 0.500 0.000
0.500 0.000 0.500
0.000 0.500 0.500
```

SG: P4/mmm
Total energy: -4.5429 eV/atom


4.
Compound: Ta2MnIn
Source: Alexandria via LeMat-Bulk
Functional: PBE
Structure: optimized geometry

Geometry as POSCAR:
```
Ta2MnIn
1.0
-4.920 0.893 -2.050
-4.219 -0.785 3.285
4.576 2.757 -0.818
In Mn Ta
1 1 2
Direct
0.478 0.478 0.000
0.238 0.738 0.500
0.026 0.026 0.000
0.758 0.258 0.500
```

SG: Imm2
Total energy: -8.7171 eV/atom


5.
Compound: CaAc2Sb3Pt4
Source: Alexandria via LeMat-Bulk
Functional: PBE
Structure: optimized geometry

Geometry as POSCAR:
```
CaAc2Sb3Pt4
1.0
-0.305 -4.014 -2.349
4.646 -0.365 0.021
-0.491 -5.688 9.786
Ca Ac Sb Pt
1 2 3 4
Direct
0.500 0.500 0.500
0.500 0.000 0.223
0.000 0.500 0.777
0.000 0.000 0.500
0.500 0.000 0.876
0.000 0.500 0.124
0.500 0.500 0.000
0.000 0.000 0.000
0.500 0.000 0.644
0.000 0.500 0.356
```

SG: P-4m2
Energy relative to the elements, uncorrected: -0.943 eV per atom


6.
Compound: CdTc2Hg
Source: Alexandria via LeMat-Bulk
Functional: PBE
Structure: optimized geometry

Geometry as POSCAR:
```
CdTc2Hg
1.0
-10.053 0.988 0.994
-9.866 -1.835 1.520
-9.470 0.055 3.653
Cd Hg Tc
1 1 2
Direct
0.508 0.508 0.508
0.743 0.743 0.743
0.991 0.991 0.991
0.258 0.258 0.258
```

SG: R3m
Total energy: -5.2563 eV/atom